# 1
DFT (PBE) results for a geometry-optimized Er2PuSi structure.

Summary:
- Theoretical density: 9.1 g cm⁻³
- E: -7.13 eV per atom
- E_form (uncorrected): 88.8 meV/atom
- Relative energy among the computed polymorphs: 0.276 eV/atom
- M_tot: 6.5 Bohr magnetons per cell

a b c (Å): 3.464 3.464 10.795
angles (deg): 80.77 80.77 60.00
Each line ends with the local moment (μB).
Fractional positions:
Er (0.896, 0.896, 0.311)  -0.05
Er (0.104, 0.104, 0.689)  -0.05
Si (0.500, 0.500, 0.500)  0.00
Pu (0.000, 0.000, 0.000)  -5.82

***

# 2
DFT (PBE) results for a geometry-optimized TiRe3Si structure.

Summary:
- Theoretical density: 11.3 g cm⁻³
- E: -8.01 eV per atom
- E_form (uncorrected): 2118.1 meV/atom
- Relative energy among the computed polymorphs: 1.241 eV/atom
- M_tot: 0.0 Bohr magnetons per cell

a b c (Å): 4.540 4.540 4.540
angles (deg): 90.00 90.00 90.00
Fractional positions:
Re (0.000, 0.000, 0.500)
Re (0.000, 0.500, 0.000)
Re (0.500, 0.000, 0.000)
Ti (0.000, 0.000, 0.000)
Si (0.500, 0.500, 0.500)

***

# 3
DFT (PBE) results for a geometry-optimized LaAgSCl2 structure.

Summary:
- Theoretical density: 3.4 g cm⁻³
- E: -4.26 eV per atom
- E_form (uncorrected): -1140.4 meV/atom
- Relative energy among the computed polymorphs: 0.000 eV/atom
- M_tot: 0.0 Bohr magnetons per cell

a b c (Å): 5.521 5.521 5.586
angles (deg): 90.00 90.00 90.00
Fractional positions:
La (0.000, 0.000, 0.000)
S (0.000, 0.000, 0.500)
Cl (0.000, 0.500, 0.000)
Cl (0.500, 0.000, 0.000)
Ag (0.500, 0.500, 0.500)

***

# 4
DFT (PBE) results for a geometry-optimized Ba2Ge2Ir structure.

Summary:
- Theoretical density: 8.0 g cm⁻³
- E: -4.66 eV per atom
- E_form: -273 meV/atom
- M_tot: 0.0 Bohr magnetons per cell

a b c (Å): 6.878 6.878 5.366
angles (deg): 90.00 90.00 90.00
Fractional positions:
Ge (0.135, 0.365, 0.000)
Ge (0.865, 0.635, 0.000)
Ge (0.365, 0.865, 0.000)
Ge (0.635, 0.135, 0.000)
Ir (0.500, 0.500, 0.000)
Ir (0.000, 0.000, 0.000)
Ba (0.317, 0.183, 0.500)
Ba (0.817, 0.317, 0.500)
Ba (0.683, 0.817, 0.500)
Ba (0.183, 0.683, 0.500)

***

# 5
DFT (PBE) results for a geometry-optimized CsSrAuO2 structure.

Summary:
- Theoretical density: 5.7 g cm⁻³
- E: -4.61 eV per atom
- E_form (uncorrected): -1463.0 meV/atom
- M_tot: 0.0 Bohr magnetons per cell

a b c (Å): 5.251 7.333 7.746
angles (deg): 118.25 90.00 90.00
Fractional positions:
O (0.300, 0.096, 0.192)
O (0.700, 0.596, 0.192)
O (0.700, 0.904, 0.808)
O (0.300, 0.404, 0.808)
Sr (0.500, 0.750, 0.000)
Sr (0.500, 0.250, 0.000)
Au (0.000, 0.000, 0.000)
Au (0.000, 0.500, 0.000)
Cs (0.217, 0.750, 0.500)
Cs (0.783, 0.250, 0.500)

***

# 6
DFT (PBE) results for a geometry-optimized Sc2Tc structure.

Summary:
- Theoretical density: 5.5 g cm⁻³
- E: -7.63 eV per atom
- E_form: 47 meV/atom
- Relative energy among the computed polymorphs: 0.259 eV/atom
- M_tot: 0.0 Bohr magnetons per cell

a b c (Å): 4.035 4.035 14.298
angles (deg): 98.11 98.11 90.00
Fractional positions:
Tc (0.077, 0.077, 0.154)
Tc (0.173, 0.673, 0.346)
Tc (0.327, 0.827, 0.654)
Tc (0.923, 0.923, 0.846)
Sc (0.000, 0.500, 0.000)
Sc (0.585, 0.585, 0.171)
Sc (0.250, 0.250, 0.500)
Sc (0.415, 0.415, 0.829)
Sc (0.665, 0.165, 0.329)
Sc (0.750, 0.750, 0.500)
Sc (0.835, 0.335, 0.671)
Sc (0.500, 0.000, 0.000)